Density functional theory data (PBE) for a relaxed structure of NbGe2RuSe.

Cell lengths 4.6040, 5.3127, 4.6040 Å; angles 90.00, 90.00, 90.00 degrees
Sites, in units of the cell vectors:
Ru 0.0000 0.0000 0.0000
Nb 0.5000 0.5000 0.5000
Ge 0.0000 0.0000 0.5000
Ge 0.5000 0.0000 0.0000
Se 0.0000 0.5000 0.0000

formation energy (no corrections): 0.769 eV/atom

***

Density functional theory data (PBE) for a relaxed structure of Nb2SiGeRu.

Cell lengths 4.6633, 4.4309, 4.6633 Å; angles 90.00, 90.00, 90.00 degrees
Sites, in units of the cell vectors:
Ru 0.5000 0.5000 0.5000
Nb 0.0000 0.0000 0.5000
Nb 0.5000 0.0000 0.0000
Si 0.0000 0.0000 0.0000
Ge 0.0000 0.5000 0.0000

formation energy (no corrections): 1.089 eV/atom

***

Density functional theory data (PBE) for a relaxed structure of TaNb2Ge2Ru5.

Cell lengths 3.6136, 9.3324, 9.3324 Å; angles 90.00, 90.00, 90.00 degrees
Sites, in units of the cell vectors:
Ta 0.0000 0.0000 0.0000
Ta 0.0000 0.5000 0.5000
Nb 0.0000 0.6720 0.1720
Nb 0.0000 0.3280 0.8280
Nb 0.0000 0.1720 0.3280
Nb 0.0000 0.8280 0.6720
Ge 0.0000 0.1277 0.6277
Ge 0.0000 0.8723 0.3723
Ge 0.0000 0.6277 0.8723
Ge 0.0000 0.3723 0.1277
Ru 0.5000 0.2046 0.0595
Ru 0.5000 0.7954 0.9405
Ru 0.5000 0.0595 0.7954
Ru 0.5000 0.7046 0.4405
Ru 0.5000 0.9405 0.2046
Ru 0.5000 0.2954 0.5595
Ru 0.5000 0.5595 0.7046
Ru 0.5000 0.4405 0.2954
Ru 0.5000 0.5000 0.0000
Ru 0.5000 0.0000 0.5000

E: -8.963 eV/atom

***

Density functional theory data (PBE) for a relaxed structure of ThNbGe2Ru.

Cell lengths 4.1483, 4.1483, 6.3923 Å; angles 108.93, 108.93, 90.00 degrees
Sites, in units of the cell vectors:
Th 0.0000 0.0000 0.0000
Nb 0.7500 0.2500 0.5000
Ge 0.6128 0.6128 0.2256
Ge 0.3872 0.3872 0.7744
Ru 0.2500 0.7500 0.5000

E: -7.722 eV/atom

***

Density functional theory data (PBE) for a relaxed structure of NbVGeRu.

Cell lengths 4.4008, 4.4008, 4.4008 Å; angles 60.00, 60.00, 60.00 degrees
Sites, in units of the cell vectors:
Ru 0.5000 0.5000 0.5000
Nb 0.7500 0.7500 0.7500
Ge 0.2500 0.2500 0.2500
V 0.0000 0.0000 0.0000

E: -8.485 eV/atom

***

Density functional theory data (PBE) for a relaxed structure of YNbGe2Ru.

Cell lengths 4.7205, 4.9902, 4.7205 Å; angles 90.00, 90.00, 90.00 degrees
Sites, in units of the cell vectors:
Y 0.5000 0.5000 0.5000
Ru 0.0000 0.0000 0.0000
Nb 0.0000 0.5000 0.0000
Ge 0.0000 0.0000 0.5000
Ge 0.5000 0.0000 0.0000

E: -6.742 eV/atom

***

Density functional theory data (PBE) for a relaxed structure of Zr2NbGeRu.

Cell lengths 5.1316, 5.1316, 4.6022 Å; angles 90.00, 90.00, 90.00 degrees
Sites, in units of the cell vectors:
Ru 0.0000 0.0000 0.5000
Nb 0.0000 0.0000 0.0000
Ge 0.5000 0.5000 0.5000
Zr 0.0000 0.5000 0.0000
Zr 0.5000 0.0000 0.0000

E: -7.271 eV/atom

***

Density functional theory data (PBE) for a relaxed structure of NbGe3S.

Cell lengths 4.6791, 4.6791, 4.6791 Å; angles 90.00, 90.00, 90.00 degrees
Sites, in units of the cell vectors:
S 0.0000 0.0000 0.0000
Nb 0.5000 0.5000 0.5000
Ge 0.0000 0.5000 0.0000
Ge 0.0000 0.0000 0.5000
Ge 0.5000 0.0000 0.0000

formation energy (no corrections): 0.884 eV/atom
E above lowest polymorph: 193 meV/atom